# LiPu3N (PBE, relaxed)
# **Electronic total energy**: -10.845 eV per atom
# **SG**: Pm-3m (221)
# **DOS(E_F)**: 19.58 states/eV/cell
data_LiPu3N
_cell_length_a 4.857
_cell_length_b 4.857
_cell_length_c 4.857
_cell_angle_alpha 90.00
_cell_angle_beta 90.00
_cell_angle_gamma 90.00
_symmetry_space_group_name_H-M 'P 1'
_symmetry_Int_Tables_number 1
_symmetry_space_group_name_Hall 'P 1'
loop_
_atom_site_label
_atom_site_type_symbol
_atom_site_fract_x
_atom_site_fract_y
_atom_site_fract_z
Li1 Li 0.000 0.000 0.000
Pu1 Pu 0.000 0.500 0.500
Pu2 Pu 0.500 0.000 0.500
Pu3 Pu 0.500 0.500 0.000
N1 N 0.500 0.500 0.500

=====

# Cr3Fe (PBE, relaxed)
# **Formation enthalpy at 0 K**: 0.2320 eV/atom
# **SG**: Pnma (62)
# **DOS(E_F)**: 21.75 states/eV/cell
data_Cr3Fe
_cell_length_a 4.554
_cell_length_b 8.290
_cell_length_c 4.843
_cell_angle_alpha 90.00
_cell_angle_beta 90.00
_cell_angle_gamma 90.00
_symmetry_space_group_name_H-M 'P 1'
_symmetry_Int_Tables_number 1
_symmetry_space_group_name_Hall 'P 1'
loop_
_atom_site_label
_atom_site_type_symbol
_atom_site_fract_x
_atom_site_fract_y
_atom_site_fract_z
Cr1 Cr 0.020 0.250 0.116
Cr2 Cr 0.230 0.519 0.385
Cr3 Cr 0.230 0.981 0.385
Cr4 Cr 0.270 0.019 0.885
Cr5 Cr 0.270 0.481 0.885
Cr6 Cr 0.480 0.750 0.616
Cr7 Cr 0.520 0.250 0.384
Cr8 Cr 0.730 0.519 0.115
Cr9 Cr 0.730 0.981 0.115
Cr10 Cr 0.770 0.019 0.615
Cr11 Cr 0.770 0.481 0.615
Cr12 Cr 0.980 0.750 0.884
Fe1 Fe 0.062 0.250 0.612
Fe2 Fe 0.438 0.750 0.112
Fe3 Fe 0.562 0.250 0.888
Fe4 Fe 0.938 0.750 0.388

=====

# Y8ThSc4 (PBE, relaxed)
# **Formation enthalpy at 0 K**: 0.2984 eV/atom
# **SG**: R-3m (166)
# **DOS(E_F)**: 22.17 states/eV/cell
data_Y8ThSc4
_cell_length_a 11.208
_cell_length_b 11.208
_cell_length_c 11.208
_cell_angle_alpha 34.76
_cell_angle_beta 34.76
_cell_angle_gamma 34.76
_symmetry_space_group_name_H-M 'P 1'
_symmetry_Int_Tables_number 1
_symmetry_space_group_name_Hall 'P 1'
loop_
_atom_site_label
_atom_site_type_symbol
_atom_site_fract_x
_atom_site_fract_y
_atom_site_fract_z
Y1 Y 0.197 0.197 0.197
Y2 Y 0.243 0.751 0.751
Y3 Y 0.249 0.249 0.757
Y4 Y 0.249 0.757 0.249
Y5 Y 0.751 0.243 0.751
Y6 Y 0.751 0.751 0.243
Y7 Y 0.757 0.249 0.249
Y8 Y 0.803 0.803 0.803
Th1 Th 0.500 0.500 0.500
Sc1 Sc 0.000 0.000 0.000
Sc2 Sc 0.000 0.500 0.500
Sc3 Sc 0.500 0.000 0.500
Sc4 Sc 0.500 0.500 0.000

=====

# TmIn2Co (PBE, relaxed)
# **Formation enthalpy at 0 K**: -0.0650 eV/atom
# **SG**: R-3m (166)
# **DOS(E_F)**: 9.23 states/eV/cell
data_TmIn2Co
_cell_length_a 4.414
_cell_length_b 4.414
_cell_length_c 15.330
_cell_angle_alpha 90.00
_cell_angle_beta 90.00
_cell_angle_gamma 120.00
_symmetry_space_group_name_H-M 'P 1'
_symmetry_Int_Tables_number 1
_symmetry_space_group_name_Hall 'P 1'
loop_
_atom_site_label
_atom_site_type_symbol
_atom_site_fract_x
_atom_site_fract_y
_atom_site_fract_z
Tm1 Tm 0.000 0.000 0.000
Tm2 Tm 0.333 0.667 0.667
Tm3 Tm 0.667 0.333 0.333
In1 In 0.000 0.000 0.220
In2 In 0.000 0.000 0.780
In3 In 0.333 0.667 0.446
In4 In 0.333 0.667 0.887
In5 In 0.667 0.333 0.113
In6 In 0.667 0.333 0.554
Co1 Co 0.000 0.000 0.500
Co2 Co 0.333 0.667 0.167
Co3 Co 0.667 0.333 0.833